Run a
RbAsH3: relaxed, PBE.

a b c (Å): 4.5461 4.5461 4.5461
angles (deg): 90.00 90.00 90.00
With the nearest neighbours (Å) after each atom.
Positions (direct):
H1 0.5000 0.0000 0.0000  2 Rb 2.27
H2 0.0000 0.5000 0.0000  2 Rb 2.27
H3 0.0000 0.0000 0.5000  2 Rb 2.27
Rb1 0.0000 0.0000 0.0000  6 H 2.27
As1 0.5000 0.5000 0.5000  12 H 3.21

Values from the calculation:
**Total moment**: 0.18 μB per atom
**Volume**: 18.79 Å³/atom
**DOS(E_F)**: 0.759 states/eV/f.u.
**Symmetry**: Pm-3m (221)

Run b
RbAsH3: relaxed, PBE.

a b c (Å): 4.5836 4.5836 6.7957
angles (deg): 70.29 70.29 60.00
With the nearest neighbours (Å) after each atom.
Positions (direct):
H1 0.6773 0.1693 0.9840  1 As 1.59
H2 0.1693 0.6773 0.9840  1 As 1.59
H3 0.1693 0.1693 0.9840  1 As 1.59
Rb1 0.1518 0.1518 0.5446  3 H 3.04
As1 0.9572 0.9572 0.1284  3 H 1.59

Values from the calculation:
**Total moment**: 0.12 μB per atom
**Volume**: 22.78 Å³/atom
**DOS(E_F)**: 2.014 states/eV/f.u.
**Symmetry**: R3m (160)

Order of stability, best first: run b, run a

Run a
B5C7: relaxed, PBE.

a b c (Å): 2.5796 2.5796 13.5749
angles (deg): 90.00 90.00 120.00
With the nearest neighbours (Å) after each atom.
Positions (direct):
C1 0.0000 0.0000 0.3732  4 B 1.57-1.63
C2 0.3333 0.6667 0.1679  4 C 1.56-1.58
C3 0.3333 0.6667 0.0516  4 C 1.57-1.58
C4 0.6667 0.3333 0.7086  4 B 1.53-1.65
C5 0.6667 0.3333 0.2032  3 C 1.56, 1 B 1.64
C6 0.0000 0.0000 0.0146  3 C 1.57, 1 B 1.58
C7 0.3333 0.6667 0.5416  4 B 1.57-1.65
B1 0.3333 0.6667 0.6569  4 C 1.57-1.65
B2 0.0000 0.0000 0.4891  4 C 1.57-1.65
B3 0.6667 0.3333 0.8213  1 C 1.53
B4 0.0000 0.0000 0.8979  1 C 1.58
B5 0.6667 0.3333 0.3242  4 C 1.63-1.64

Values from the calculation:
**Total moment**: 0.00 μB per atom
**Volume**: 6.52 Å³/atom
**DOS(E_F)**: 1.235 states/eV/f.u.
**Symmetry**: P3m1 (156)

Run b
B5C7: relaxed, PBE.

a b c (Å): 6.0011 6.0011 3.7346
angles (deg): 90.28 90.28 143.76
With the nearest neighbours (Å) after each atom.
Positions (direct):
B1 0.3342 0.6756 0.9926  4 C 1.59-1.73
B2 0.6431 0.2821 0.9621  3 C 1.55-1.64
B3 0.8155 0.6845 0.2500  2 C 1.60
B4 0.2179 0.8569 0.5379  3 C 1.55-1.64
B5 0.8244 0.1658 0.5074  4 C 1.59-1.73
C1 0.3245 0.1755 0.7500  2 C 1.54, 2 B 1.64
C2 0.4985 0.0015 0.2500  4 B 1.55-1.61
C3 0.6738 0.8262 0.7500  2 C 1.56, 2 B 1.69
C4 0.1731 0.3269 0.2500  2 C 1.56, 2 B 1.73
C5 0.0103 0.0146 0.9876  3 C 1.54-1.56, 1 B 1.60
C6 0.4854 0.4897 0.5124  3 C 1.54-1.56, 1 B 1.60
C7 0.9992 0.5008 0.7500  4 B 1.56-1.59

Values from the calculation:
**Total moment**: 0.00 μB per atom
**Volume**: 6.63 Å³/atom
**DOS(E_F)**: 1.927 states/eV/f.u.
**Symmetry**: C2 (5)

Order of stability, best first: run b, run a

Run a
MgBe: relaxed, PBE.

a b c (Å): 7.2630 7.2630 4.0676
angles (deg): 90.00 90.00 120.00
With the nearest neighbours (Å) after each atom.
Positions (direct):
Be1 0.1252 0.5626 0.2500  2 Be 2.27
Be2 0.4374 0.5626 0.2500  2 Be 2.27
Be3 0.8748 0.4374 0.7500  2 Be 2.27
Be4 0.5626 0.4374 0.7500  2 Be 2.27
Be5 0.4374 0.8748 0.2500  2 Be 2.27
Be6 0.5626 0.1252 0.7500  2 Be 2.27
Mg1 0.6374 0.8187 0.7500  6 Be 2.54-2.65
Mg2 0.1813 0.8187 0.7500  6 Be 2.54-2.65
Mg3 0.1813 0.3626 0.7500  6 Be 2.54-2.65
Mg4 0.8187 0.6374 0.2500  6 Be 2.54-2.65
Mg5 0.8187 0.1813 0.2500  6 Be 2.54-2.65
Mg6 0.3626 0.1813 0.2500  6 Be 2.54-2.65

Values from the calculation:
**Total moment**: 0.00 μB per atom
**Volume**: 15.49 Å³/atom
**DOS(E_F)**: 0.469 states/eV/f.u.
**Symmetry**: P6_3/mmc (194)

Run b
MgBe: relaxed, PBE.

a b c (Å): 4.1439 4.1439 4.1439
angles (deg): 60.00 60.00 60.00
With the nearest neighbours (Å) after each atom.
Positions (direct):
Mg1 0.2500 0.2500 0.2500  4 Be 2.54
Be1 0.0000 0.0000 0.0000  4 Mg 2.54

Values from the calculation:
**Total moment**: 0.00 μB per atom
**Volume**: 25.16 Å³/atom
**DOS(E_F)**: 1.033 states/eV/f.u.
**Symmetry**: F-43m (216)

Order of stability, best first: run a, run b